This record from Alexandria via LeMat-Bulk describes RbMnTeO4 after structural relaxation. The functional is PBE with a Hubbard U.

The structure in CIF format:
```
data_RbMnTeO4
_symmetry_space_group_name_H-M 'P 1'
_symmetry_Int_Tables_number 1
_cell_length_a 7.5497
_cell_length_b 6.0795
_cell_length_c 7.8300
_cell_angle_alpha 90.00
_cell_angle_beta 126.23
_cell_angle_gamma 90.00
loop_
_symmetry_equiv_pos_as_xyz
'x,y,z'
loop_
_atom_site_label
_atom_site_type_symbol
_atom_site_fract_x
_atom_site_fract_y
_atom_site_fract_z
_atom_site_occupancy
Rb1 Rb 0.3009 0.7500 0.7919 1
Rb2 Rb 0.6991 0.2500 0.2081 1
Mn1 Mn 0.7021 0.7500 0.5157 1
Mn2 Mn 0.2979 0.2500 0.4843 1
Te1 Te 0.1975 0.7500 0.2539 1
Te2 Te 0.8025 0.2500 0.7461 1
O1 O 0.9109 0.4966 0.6761 1
O2 O 0.0891 0.9966 0.3239 1
O3 O 0.0891 0.5034 0.3239 1
O4 O 0.9109 0.0034 0.6761 1
O5 O 0.4972 0.7500 0.2309 1
O6 O 0.5028 0.2500 0.7691 1
O7 O 0.4651 0.7500 0.5413 1
O8 O 0.5349 0.2500 0.4587 1
```

Calculated values
The calculation puts the final energy at -5.7581 eV per atom. Its space group is P2_1/m.